[1]
RbHgBiPd2: relaxed, GGA-PBE.

a = 5.207 Å, b = 5.207 Å, c = 6.982 Å
α = 90.00°, β = 90.00°, γ = 90.00°
Positions (direct):
Rb 0.000 0.000 0.000
Hg 0.500 0.500 0.000
Bi 0.000 0.000 0.500
Pd 0.000 0.500 0.500
Pd 0.500 0.000 0.500

## Properties
VASP energy = -14.0 eV/cell
Relative energy among the computed polymorphs = 0.507 eV/atom
ΔE_f = 304 meV/atom

[2]
RbHgBiPd2: relaxed, GGA-PBE.

a = 6.763 Å, b = 4.686 Å, c = 10.397 Å
α = 90.00°, β = 104.51°, γ = 90.00°
Positions (direct):
Rb 0.070 0.250 0.239
Rb 0.930 0.750 0.761
Hg 0.391 0.750 0.062
Hg 0.609 0.250 0.938
Bi 0.310 0.750 0.533
Bi 0.690 0.250 0.467
Pd 0.449 0.750 0.807
Pd 0.464 0.250 0.655
Pd 0.536 0.750 0.345
Pd 0.551 0.250 0.193

## Properties
VASP energy = -33.1 eV/cell
Relative energy among the computed polymorphs = 0.000 eV/atom
ΔE_f = -204 meV/atom

[3]
HgBiPdRh: relaxed, GGA-PBE.

a = 6.732 Å, b = 6.732 Å, c = 6.732 Å
α = 90.00°, β = 90.00°, γ = 90.00°
Positions (direct):
Hg 0.000 0.000 0.000
Hg 0.000 0.500 0.500
Hg 0.500 0.000 0.500
Hg 0.500 0.500 0.000
Bi 0.000 0.000 0.500
Bi 0.000 0.500 0.000
Bi 0.500 0.000 0.000
Bi 0.500 0.500 0.500
Pd 0.250 0.250 0.750
Pd 0.250 0.750 0.250
Pd 0.750 0.250 0.250
Pd 0.750 0.750 0.750
Rh 0.250 0.250 0.250
Rh 0.250 0.750 0.750
Rh 0.750 0.250 0.750
Rh 0.750 0.750 0.250

## Properties
VASP energy = -67.3 eV/cell
ΔE_f = -22 meV/atom

[4]
Hg2BiPdRh: relaxed, GGA-PBE.

a = 5.679 Å, b = 5.679 Å, c = 5.107 Å
α = 90.00°, β = 90.00°, γ = 90.00°
Positions (direct):
Hg 0.000 0.500 0.000
Hg 0.500 0.000 0.000
Bi 0.000 0.000 0.000
Pd 0.000 0.000 0.500
Rh 0.500 0.500 0.500

## Properties
VASP energy = -11.4 eV/cell
ΔE_f = 1122 meV/atom

[5]
HgBi2Sb2Pd7: relaxed, GGA-PBE.

a = 4.006 Å, b = 4.006 Å, c = 16.028 Å
α = 94.15°, β = 94.15°, γ = 90.14°
Positions (direct):
Hg 0.000 0.000 0.000
Bi 0.428 0.428 0.751
Bi 0.572 0.572 0.249
Sb 0.141 0.141 0.419
Sb 0.859 0.859 0.581
Pd 0.038 0.538 0.132
Pd 0.357 0.357 0.576
Pd 0.462 0.962 0.868
Pd 0.500 0.500 0.000
Pd 0.538 0.038 0.132
Pd 0.643 0.643 0.424
Pd 0.962 0.462 0.868

## Properties
VASP energy = -55.0 eV/cell
Formation energy without anion corrections = -196 meV/atom

[6]
ScHgBiPd: relaxed, GGA-PBE.

a = 7.056 Å, b = 7.056 Å, c = 7.056 Å
α = 90.00°, β = 90.00°, γ = 90.00°
Positions (direct):
Sc 0.000 0.000 0.000
Sc 0.000 0.500 0.500
Sc 0.500 0.000 0.500
Sc 0.500 0.500 0.000
Hg 0.250 0.250 0.250
Hg 0.250 0.750 0.750
Hg 0.750 0.250 0.750
Hg 0.750 0.750 0.250
Bi 0.000 0.000 0.500
Bi 0.000 0.500 0.000
Bi 0.500 0.000 0.000
Bi 0.500 0.500 0.500
Pd 0.250 0.250 0.750
Pd 0.250 0.750 0.250
Pd 0.750 0.250 0.250
Pd 0.750 0.750 0.750

## Properties
VASP energy = -68.3 eV/cell
ΔE_f = -342 meV/atom

[7]
SmHgBiPd: relaxed, GGA-PBE.

a = 7.290 Å, b = 7.290 Å, c = 7.290 Å
α = 90.00°, β = 90.00°, γ = 90.00°
Positions (direct):
Sm 0.000 0.000 0.000
Sm 0.000 0.500 0.500
Sm 0.500 0.000 0.500
Sm 0.500 0.500 0.000
Hg 0.250 0.250 0.250
Hg 0.250 0.750 0.750
Hg 0.750 0.250 0.750
Hg 0.750 0.750 0.250
Bi 0.000 0.000 0.500
Bi 0.000 0.500 0.000
Bi 0.500 0.000 0.000
Bi 0.500 0.500 0.500
Pd 0.250 0.250 0.750
Pd 0.250 0.750 0.250
Pd 0.750 0.250 0.250
Pd 0.750 0.750 0.750

## Properties
VASP energy = -64.5 eV/cell
ΔE_f = -510 meV/atom

[8]
Sn2HgBi2Pd7: relaxed, GGA-PBE.

a = 3.984 Å, b = 3.984 Å, c = 16.041 Å
α = 93.44°, β = 93.44°, γ = 90.46°
Positions (direct):
Sn 0.131 0.131 0.416
Sn 0.869 0.869 0.584
Hg 0.000 0.000 0.000
Bi 0.436 0.436 0.750
Bi 0.564 0.564 0.250
Pd 0.035 0.534 0.133
Pd 0.373 0.373 0.575
Pd 0.466 0.965 0.867
Pd 0.500 0.500 0.000
Pd 0.534 0.035 0.133
Pd 0.627 0.627 0.425
Pd 0.965 0.466 0.867

## Properties
VASP energy = -54.9 eV/cell
ΔE_f = -203 meV/atom